1.
Below is a geometry-optimized Cs2KRbSn structure, with properties calculated at the GGA-PBE level.

Values from the calculation:
The calculation puts the energy of formation from the pure elements at 28 kJ/mol of formula units. The value obtained for the energy is -1.50 eV/atom. The symmetry is P4/mmm. As for the total magnetic moment: 1.41 μB per formula unit. As for the crystal system: tetragonal. The calculation puts the volume at 80.66 Å³/atom.

Unit cell a=7.512 b=7.512 c=7.147 alpha=90.00 beta=90.00 gamma=90.00
Fractional positions:
Cs (0.000, 0.500, 0.000)
Cs (0.500, 0.000, 0.000)
K (0.000, 0.000, 0.500)
Rb (0.500, 0.500, 0.500)
Sn (0.000, 0.000, 0.000)



2.
Below is a geometry-optimized La2AlSn8 structure, with properties calculated at the GGA-PBE level.

Values from the calculation:
The calculation puts the energy of formation from the pure elements at -361 kJ/mol of formula units. The value obtained for the energy is -4.49 eV/atom. The symmetry is P4/mmm. As for the total magnetic moment: 0.00 μB per formula unit. As for the crystal system: tetragonal. The calculation puts the volume at 27.55 Å³/atom.

Unit cell a=4.901 b=4.901 c=12.615 alpha=90.00 beta=90.00 gamma=90.00
Fractional positions:
La (0.000, 0.000, 0.182)
La (0.000, 0.000, 0.818)
Al (0.000, 0.000, 0.500)
Sn (0.000, 0.500, 0.000)
Sn (0.000, 0.500, 0.374)
Sn (0.000, 0.500, 0.626)
Sn (0.500, 0.000, 0.000)
Sn (0.500, 0.000, 0.374)
Sn (0.500, 0.000, 0.626)
Sn (0.500, 0.500, 0.181)
Sn (0.500, 0.500, 0.819)



3.
Below is a geometry-optimized SrRhAu structure, with properties calculated at the GGA-PBE level.

Values from the calculation:
The calculation puts the energy of formation from the pure elements at -17 kJ/mol of formula units. The value obtained for the energy is -4.16 eV/atom. The symmetry is F-43m. As for the energy above the most stable polymorph in this dataset: 306 meV per atom. As for the total magnetic moment: 0.00 μB per formula unit. As for the crystal system: cubic. The calculation puts the volume at 24.80 Å³/atom.

Unit cell a=4.721 b=4.721 c=4.721 alpha=60.00 beta=60.00 gamma=60.00
Fractional positions:
Sr (0.000, 0.000, 0.000)
Rh (0.750, 0.750, 0.750)
Au (0.500, 0.500, 0.500)



4.
Below is a geometry-optimized DySc3Cu8 structure, with properties calculated at the GGA-PBE level.

Values from the calculation:
The calculation puts the energy of formation from the pure elements at -263 kJ/mol of formula units. The value obtained for the energy is -4.92 eV/atom. The symmetry is P3m1. As for the total magnetic moment: 0.00 μB per formula unit. As for the crystal system: trigonal. The calculation puts the volume at 15.65 Å³/atom.

Unit cell a=5.121 b=5.121 c=8.271 alpha=90.00 beta=90.00 gamma=120.00
Fractional positions:
Dy (0.000, 0.000, 0.000)
Sc (0.000, 0.000, 0.394)
Sc (0.667, 0.333, 0.487)
Sc (0.667, 0.333, 0.866)
Cu (0.167, 0.333, 0.683)
Cu (0.167, 0.833, 0.683)
Cu (0.333, 0.667, 0.434)
Cu (0.333, 0.667, 0.936)
Cu (0.502, 0.003, 0.190)
Cu (0.502, 0.498, 0.190)
Cu (0.667, 0.833, 0.683)
Cu (0.997, 0.498, 0.190)